## LuPaGaOs (PBE-GGA)

Data for LuPaGaOs after structural relaxation.

Results
E_form in eV per atom: -0.2635
Magnetization in μB/f.u.: 0.00
Space group: F-43m
Fermi-level density of states in states/eV/f.u.: 4.432

Lattice parameters (Å, degrees): 4.906 4.906 4.906 60.00 60.00 60.00
Sites, in units of the cell vectors:
1 Lu 0.000 0.000 0.000
2 Pa 0.500 0.500 0.500
3 Ga 0.750 0.750 0.750
4 Os 0.250 0.250 0.250